1.
The following is a GGA-PBE calculation of Tl4As2S5 after structural relaxation, from the Alexandria database.

## Properties
The value obtained for the total magnetization is 0.00 μB per cell. Its formation energy without anion corrections is -276 meV per atom.

a b c (Å): 6.7590 6.7590 8.6259
angles (deg): 105.86 105.86 64.34
Last column: nearest neighbours and their distance in Å.
Fractional positions:
Tl  0.0000  0.0000  0.0000  2 S 3.01
Tl  0.0248  0.0248  0.5554  4 S 3.19-3.22
Tl  0.3989  0.3989  0.8714  3 S 2.99-3.12, 1 As 3.32
Tl  0.7647  0.7647  0.1801  4 S 3.01-3.24
As  0.4665  0.4665  0.2759  3 S 2.25-2.34
As  0.6756  0.6756  0.6774  3 S 2.26-2.34
S  0.3480  0.8372  0.2902  1 As 2.25
S  0.4430  0.9315  0.8470  1 As 2.26
S  0.4621  0.4621  0.5453  2 As 2.34
S  0.8372  0.3480  0.2902  1 As 2.25
S  0.9315  0.4430  0.8470  1 As 2.26



2.
The following is a GGA-PBE calculation of ErTmCdSn after structural relaxation, from the Alexandria database.

## Properties
The value obtained for the total magnetization is 0.00 μB per cell. The density of states at the Fermi level is 0.918 states/eV/atom. The formation energy is -1.82 eV per formula unit.

a b c (Å): 5.2385 5.2385 5.2385
angles (deg): 60.00 60.00 60.00
Last column: nearest neighbours and their distance in Å.
Fractional positions:
Er  0.0000  0.0000  0.0000  4 Cd 3.21, 4 Sn 3.21
Tm  0.5000  0.5000  0.5000  4 Sn 3.21, 4 Cd 3.21
Cd  0.2500  0.2500  0.2500  4 Tm 3.21, 4 Er 3.21
Sn  0.7500  0.7500  0.7500  4 Er 3.21, 4 Tm 3.21



3.
The following is a GGA-PBE calculation of LuPu2H after structural relaxation, from the Alexandria database.

## Properties
The value obtained for the total magnetization is 11.95 μB per cell. The value obtained for the energy above the lowest structure with this stoichiometry is 0.000 eV per atom. The density of states at the Fermi level is 2.819 states/eV/atom.

a b c (Å): 3.1781 3.1781 8.4218
angles (deg): 90.00 90.00 90.00
Last column: nearest neighbours and their distance in Å.
Fractional positions:
Lu  0.0000  0.0000  0.0000  4 Lu 3.18, 8 Pu 3.52
Pu  0.5000  0.5000  0.3223  4 H 2.70, 1 Pu 2.99
Pu  0.5000  0.5000  0.6777  4 H 2.70, 1 Pu 2.99
H  0.0000  0.0000  0.5000  8 Pu 2.70